1.
Computed, not measured: a relaxed structure of Na2In4Ga3 at the PBE level of DFT.

Properties
The total energy is -0.189 Ry/atom. The formation enthalpy at 0 K is -0.052 eV per atom. As for the spin magnetization: 0.00 μB/cell.

Cell: 6.428 16.239 8.657 Å, 90.00 90.00 90.00°
Space group Cmce (No. 64)
Symmetry-distinct sites (fractional):
Na  0.000  0.106  0.097 (multiplicity 8)
In  0.000  0.181  0.482 (multiplicity 8)
In  0.250  0.062  0.750 (multiplicity 8)
Ga  0.000  0.000  0.500 (multiplicity 4)
Ga  0.250  0.236  0.750 (multiplicity 8)

2.
Computed, not measured: a relaxed structure of K17Au12 at the PBE level of DFT.

Properties
The total energy is -0.160 Ry/atom. The formation enthalpy at 0 K is -0.177 eV per atom. As for the spin magnetization: 0.00 μB/cell.

Cell: 12.396 12.396 12.396 Å, 90.00 90.00 90.00°
Space group I-43m (No. 217)
Symmetry-distinct sites (fractional):
K  0.000  0.000  0.000 (multiplicity 2)
K  0.071  0.370  0.370 (multiplicity 24)
K  0.155  0.155  0.845 (multiplicity 8)
Au  0.114  0.114  0.281 (multiplicity 24)

3.
Computed, not measured: a relaxed structure of Pr5Ho2Tm at the PBE level of DFT.

Properties
The total energy is -0.336 Ry/atom. The formation enthalpy at 0 K is 0.116 eV per atom. The energy above the most stable polymorph in this dataset is 0.00 eV per formula unit. As for the spin magnetization: 1.19 μB/cell.

Cell: 9.244 9.244 12.894 Å, 90.00 90.00 90.00°
Space group I4/mcm (No. 140)
Symmetry-distinct sites (fractional):
Pr  0.000  0.000  0.000 (multiplicity 4)
Pr  0.151  0.349  0.164 (multiplicity 16)
Ho  0.145  0.355  0.500 (multiplicity 8)
Tm  0.000  0.000  0.250 (multiplicity 4)

4.
Computed, not measured: a relaxed structure of Al2ReW at the PBE level of DFT.

Properties
The total energy is -0.603 Ry/atom. The formation enthalpy at 0 K is 0.022 eV per atom. The energy above the most stable polymorph in this dataset is 1.11 eV per formula unit. As for the spin magnetization: 0.00 μB/cell.

Cell: 2.8291 2.8291 26.4091 Å, 90.00 90.00 120.00°
Space group R-3m (No. 166, hexagonal axes)
Symmetry-distinct sites (fractional):
Al  0.0000  0.0000  0.2480 (multiplicity 6)
Re  0.0000  0.0000  0.5000 (multiplicity 3)
W  0.0000  0.0000  0.0000 (multiplicity 3)